(1)
SrScNbCr2 | GGA-PBEsol | optimized geometry

Calculated values
**DOS at the Fermi energy**: 5.43 states/eV/f.u.
**Total magnetization**: 3.441 μB/f.u.
**Crystal system**: tetragonal
**DFT formation energy**: 2.248 eV/atom
**ρ**: 5.502 Mg/m³

a = 4.567 Å, b = 4.567 Å, c = 4.767 Å
α = 90.00°, β = 90.00°, γ = 90.00°
Site moments in Bohr magnetons follow the coordinates.
Atoms (fractional coordinates):
Sc (0.000, 0.000, 0.500)  -0.33
Cr (0.000, 0.500, 0.000)  2.49
Cr (0.500, 0.000, 0.000)  2.49
Nb (0.500, 0.500, 0.500)  -1.16
Sr (0.000, 0.000, 0.000)  -0.04

=====

(2)
Nb3CrSi | GGA-PBEsol | optimized geometry

Calculated values
**DOS at the Fermi energy**: 5.78 states/eV/f.u.
**Total magnetization**: 3.186 μB/f.u.
**Uncorrected formation energy**: 970 meV/atom
**Crystal system**: cubic
**ρ**: 6.023 Mg/m³

a = 4.625 Å, b = 4.625 Å, c = 4.625 Å
α = 90.00°, β = 90.00°, γ = 90.00°
Site moments in Bohr magnetons follow the coordinates.
Atoms (fractional coordinates):
Nb (0.000, 0.500, 0.000)  -0.18
Nb (0.000, 0.000, 0.500)  -0.18
Nb (0.500, 0.000, 0.000)  -0.18
Si (0.000, 0.000, 0.000)  0.00
Cr (0.500, 0.500, 0.500)  3.42

=====

(3)
Nb2Cr4Si5 | GGA-PBEsol | optimized geometry

Calculated values
**DOS at the Fermi energy**: 10.17 states/eV/f.u.
**Total magnetization**: 0.004 μB/f.u.
**Uncorrected formation energy**: -543 meV/atom
**Crystal system**: orthorhombic
**ρ**: 6.341 Mg/m³

a = 4.808 Å, b = 7.436 Å, c = 8.992 Å
α = 114.42°, β = 105.51°, γ = 90.00°
Atoms (fractional coordinates):
Nb (0.859, 0.978, 0.717)
Nb (0.359, 0.739, 0.717)
Nb (0.641, 0.261, 0.283)
Nb (0.141, 0.022, 0.283)
Si (0.750, 0.000, 0.000)
Si (0.788, 0.580, 0.577)
Si (0.288, 0.996, 0.577)
Si (0.212, 0.420, 0.423)
Si (0.712, 0.004, 0.423)
Si (0.435, 0.512, 0.870)
Si (0.250, 0.000, 0.000)
Si (0.065, 0.642, 0.130)
Si (0.935, 0.358, 0.870)
Si (0.565, 0.488, 0.130)
Cr (0.442, 0.692, 0.385)
Cr (0.558, 0.308, 0.615)
Cr (0.942, 0.692, 0.385)
Cr (0.058, 0.308, 0.615)
Cr (0.439, 0.195, 0.878)
Cr (0.939, 0.684, 0.878)
Cr (0.561, 0.805, 0.122)
Cr (0.061, 0.316, 0.122)